Compound: K2Li3
Source: Alexandria via LeMat-Bulk
Functional: PBE-GGA
Structure: relaxed

a = 5.0678 Å, b = 5.0678 Å, c = 9.7973 Å
α = 90.00°, β = 90.00°, γ = 120.00°
Fractional positions:
Li 0.3333 0.6667 0.0575
K 0.6667 0.3333 0.3094
Li 0.6667 0.3333 0.9425
Li 0.0000 0.0000 0.0000
K 0.3333 0.6667 0.6906

Results
symmetry	P-3m1 (164)
electronic total energy	-1.478	eV/atom
E_form	0.11	eV/atom